Li5Al2Zn4: relaxed, GGA-PBE.

Cell: 5.089 15.172 4.578 Å, 90.00 90.00 90.00°
Space group Pbam (No. 55)
Symmetry-distinct sites (fractional):
Li 0.000 0.000 0.000 (multiplicity 2)
Li 0.022 0.399 0.000 (multiplicity 4)
Li 0.031 0.201 0.000 (multiplicity 4)
Al 0.156 0.706 0.500 (multiplicity 4)
Zn 0.172 0.875 0.500 (multiplicity 4)
Zn 0.225 0.538 0.500 (multiplicity 4)

Summary:
Its density of states at the Fermi level is 0.305 states/eV per atom. The calculation puts the total energy at -46.71 eV/cell.

Li3Al2Zn4: relaxed, GGA-PBE.

Cell: 7.579 4.341 8.218 Å, 90.00 90.52 90.00°
Space group C2/m (No. 12)
Symmetry-distinct sites (fractional):
Li 0.000 0.000 0.000 (multiplicity 2)
Li 0.167 0.500 0.567 (multiplicity 4)
Al 0.167 0.500 0.224 (multiplicity 4)
Zn 0.000 0.000 0.340 (multiplicity 4)
Zn 0.167 0.500 0.895 (multiplicity 4)

Summary:
Its density of states at the Fermi level is 0.242 states/eV per atom. The calculation puts the total energy at -39.63 eV/cell.

LiAl2Zn2: relaxed, GGA-PBE.

Cell: 7.243 7.243 3.234 Å, 90.00 90.00 90.00°
Space group P4/mbm (No. 127)
Symmetry-distinct sites (fractional):
Li 0.000 0.000 0.000 (multiplicity 2)
Al 0.175 0.325 0.500 (multiplicity 4)
Zn 0.125 0.625 0.000 (multiplicity 4)

Summary:
Its density of states at the Fermi level is 0.198 states/eV per atom. The calculation puts the total energy at -23.74 eV/cell. The value obtained for the energy above the most stable polymorph in this dataset is 81 meV/atom.

Li12AlZn3: relaxed, GGA-PBE.

Cell: 4.075 4.075 16.131 Å, 90.00 90.00 90.00°
Space group P4/mmm (No. 123)
Symmetry-distinct sites (fractional):
Li 0.000 0.000 0.000 (multiplicity 1)
Li 0.000 0.000 0.249 (multiplicity 2)
Li 0.000 0.000 0.500 (multiplicity 1)
Li 0.000 0.500 0.125 (multiplicity 4)
Li 0.000 0.500 0.373 (multiplicity 4)
Al 0.500 0.500 0.500 (multiplicity 1)
Zn 0.500 0.500 0.000 (multiplicity 1)
Zn 0.500 0.500 0.251 (multiplicity 2)

Summary:
Its density of states at the Fermi level is 0.325 states/eV per atom. The calculation puts the total energy at -31.76 eV/cell.